BeSiSe2 GGA-PBE optimized geometry; raw formation energy = 0.19 eV/atom; crystal system = orthorhombic; DFT total energy = -3.8384 eV per atom; SG = Cmmm, No. 65
1.0
4.009 -0.003 0.000
-2.536 3.105 0.000
0.000 0.000 6.919
Be Se Si
1 2 1
direct
0.500 0.500 0.750 Be
0.000 0.000 0.525 Se
0.000 0.000 0.975 Se
0.500 0.500 0.250 Si


BeSiSe2 GGA-PBE optimized geometry; raw formation energy = 0.49 eV/atom; crystal system = cubic; DFT total energy = -3.5363 eV per atom; SG = Fm-3m, No. 225
1.0
0.000 3.235 3.235
3.235 0.000 3.235
3.235 3.235 0.000
Be Si Se
1 1 2
direct
0.000 0.000 0.000 Be
0.500 0.500 0.500 Si
0.250 0.250 0.250 Se
0.750 0.750 0.750 Se


Be2SiSe GGA-PBE optimized geometry; raw formation energy = 0.63 eV/atom; crystal system = tetragonal; DFT total energy = -3.4635 eV per atom; SG = P4/mmm, No. 123
1.0
-1.471 -3.424 -1.850
2.567 0.633 -3.212
2.188 -1.703 1.412
Se Si Be
1 1 2
direct
0.500 0.000 0.500 Se
0.000 0.500 0.500 Si
0.500 0.500 0.000 Be
0.000 0.000 0.000 Be


It is found that the D(E_F) values, taken in the order of the records, are 1.6 1.3 1.0 states/eV/f.u..